No. 1
Compound: Li2GaP2
Source: Alexandria via LeMat-Bulk
Functional: GGA-PBE
Structure: relaxed

Computed properties:
Formation energy (eV per atom): -0.2647
SG: No. 139

a b c (Å): 4.1699 4.1699 5.8029
angles (deg): 68.94 68.94 90.00
With the nearest neighbours (Å) after each atom.
Fractional positions:
P (0.6051, 0.6051, 0.7897)  1 P 2.10
P (0.3949, 0.3949, 0.2103)  1 P 2.10
Ga (0.0000, 0.0000, 0.0000)  8 P 3.13, 8 Li 3.25
Li (0.7500, 0.2500, 0.5000)  4 P 2.54
Li (0.2500, 0.7500, 0.5000)  4 P 2.54

=====

No. 2
Compound: ScBe4Zn8
Source: Alexandria via LeMat-Bulk
Functional: GGA-PBE
Structure: relaxed

Computed properties:
Formation energy (eV per atom): -0.1072
SG: No. 139

a b c (Å): 4.8389 6.3700 6.3700
angles (deg): 81.71 67.68 67.68
With the nearest neighbours (Å) after each atom.
Fractional positions:
Zn (0.5000, 0.7819, 0.2181)  4 Be 2.42, 6 Zn 2.57-2.70
Zn (0.6586, 0.3414, 0.3414)  4 Be 2.53, 5 Zn 2.63-2.70
Zn (0.7181, 0.7819, 0.7819)  4 Be 2.42, 6 Zn 2.57-2.70
Zn (0.0000, 0.3414, 0.6586)  4 Be 2.53, 5 Zn 2.63-2.70
Zn (0.5000, 0.2181, 0.7819)  4 Be 2.42, 6 Zn 2.57-2.70
Zn (0.0000, 0.6586, 0.3414)  4 Be 2.53, 5 Zn 2.63-2.70
Zn (0.2819, 0.2181, 0.2181)  4 Be 2.42, 6 Zn 2.57-2.70
Zn (0.3414, 0.6586, 0.6586)  4 Be 2.53, 5 Zn 2.63-2.70
Be (0.0000, 0.5000, 0.0000)  2 Be 2.42, 8 Zn 2.42-2.53
Be (0.5000, 0.5000, 0.0000)  2 Be 2.42, 8 Zn 2.42-2.53
Be (0.5000, 0.0000, 0.5000)  2 Be 2.42, 8 Zn 2.42-2.53
Be (0.0000, 0.0000, 0.5000)  2 Be 2.42, 8 Zn 2.42-2.53
Sc (0.0000, 0.0000, 0.0000)  12 Zn 2.84-3.03, 8 Be 3.18

=====

No. 3
Compound: TlIN2F
Source: Alexandria via LeMat-Bulk
Functional: GGA-PBE
Structure: relaxed

Computed properties:
Formation energy (no corrections) (eV per atom): 1.59
SG: No. 123

a b c (Å): 5.2472 5.2472 4.5309
angles (deg): 90.00 90.00 90.00
With the nearest neighbours (Å) after each atom.
Fractional positions:
I (0.0000, 0.0000, 0.5000)  2 F 2.27
N (0.0000, 0.5000, 0.0000)  2 F 2.62
N (0.5000, 0.0000, 0.0000)  2 F 2.62
Tl (0.5000, 0.5000, 0.5000)  8 N 3.47, 4 I 3.71
F (0.0000, 0.0000, 0.0000)  2 I 2.27

=====

No. 4
Compound: LiY2HPd6
Source: Alexandria via LeMat-Bulk
Functional: GGA-PBE
Structure: relaxed

Computed properties:
SG: No. 2
E_tot (eV/cell): -55.73

a b c (Å): 6.2630 5.9194 6.0368
angles (deg): 60.75 59.02 90.02
With the nearest neighbours (Å) after each atom.
Fractional positions:
Pd (0.2667, 0.2658, 0.4694)  1 H 2.00
Pd (0.7269, 0.7420, 0.0016)  1 H 2.02
Pd (0.2731, 0.2580, 0.9984)  1 H 2.02
Pd (0.2727, 0.7433, 0.9991)  1 H 2.03
Pd (0.7333, 0.7342, 0.5306)  1 H 2.00
Pd (0.7273, 0.2567, 0.0009)  1 H 2.03
H (0.5000, 0.5000, 0.0000)  6 Pd 2.00-2.03
Y (0.7597, 0.2576, 0.4839)  12 Pd 2.97-3.13
Y (0.2403, 0.7424, 0.5161)  12 Pd 2.97-3.13
Li (0.0000, 0.0000, 0.0000)  6 Pd 2.26-2.29

=====

No. 5
Compound: Zr4CrMo
Source: Alexandria via LeMat-Bulk
Functional: GGA-PBE
Structure: relaxed

Computed properties:
Formation energy (eV per atom): 0.7523
SG: No. 216

a b c (Å): 5.6534 5.6534 5.6534
angles (deg): 60.00 60.00 60.00
With the nearest neighbours (Å) after each atom.
Fractional positions:
Zr (0.3742, 0.8774, 0.3742)  6 Zr 2.81-2.84
Zr (0.8774, 0.3742, 0.3742)  6 Zr 2.81-2.84
Zr (0.3742, 0.3742, 0.3742)  6 Zr 2.81-2.84
Zr (0.3742, 0.3742, 0.8774)  6 Zr 2.81-2.84
Cr (0.7500, 0.7500, 0.7500)  12 Zr 3.32, 4 Mo 3.46
Mo (0.0000, 0.0000, 0.0000)  12 Zr 3.31, 4 Cr 3.46

=====

No. 6
Compound: TbTm9Sc2
Source: Alexandria via LeMat-Bulk
Functional: GGA-PBE
Structure: relaxed

Computed properties:
Formation energy (eV per atom): 0.0441
SG: No. 191

a b c (Å): 3.4221 10.9048 10.9048
angles (deg): 120.00 90.00 90.00
With the nearest neighbours (Å) after each atom.
Fractional positions:
Sc (0.0000, 0.3333, 0.6667)  9 Tm 3.15-3.37, 2 Sc 3.42
Sc (0.0000, 0.6667, 0.3333)  9 Tm 3.15-3.37, 2 Sc 3.42
Tm (0.0000, 0.5000, 0.5000)  2 Sc 3.15, 10 Tm 3.42-3.48
Tm (0.5000, 0.6407, 0.8204)  2 Sc 3.37, 8 Tm 3.39-3.48
Tm (0.5000, 0.8204, 0.1796)  2 Sc 3.37, 8 Tm 3.39-3.48
Tm (0.5000, 0.1796, 0.3593)  2 Sc 3.37, 8 Tm 3.39-3.48
Tm (0.5000, 0.3593, 0.1796)  2 Sc 3.37, 8 Tm 3.39-3.48
Tm (0.0000, 0.5000, 0.0000)  2 Sc 3.15, 10 Tm 3.42-3.48
Tm (0.5000, 0.8204, 0.6407)  2 Sc 3.37, 8 Tm 3.39-3.48
Tm (0.5000, 0.1796, 0.8204)  2 Sc 3.37, 8 Tm 3.39-3.48
Tm (0.0000, 0.0000, 0.5000)  2 Sc 3.15, 10 Tm 3.42-3.48
Tb (0.0000, 0.0000, 0.0000)  2 Tb 3.42, 12 Tm 3.80

=====

No. 7
Compound: LiTa2Te
Source: Alexandria via LeMat-Bulk
Functional: GGA-PBE
Structure: relaxed

Computed properties:
Formation energy (no corrections) (eV per atom): 0.18
SG: No. 35

a b c (Å): 3.1006 3.1006 9.0069
angles (deg): 90.00 90.00 109.67
With the nearest neighbours (Å) after each atom.
Fractional positions:
Ta (0.5000, 0.5000, 0.2396)  2 Ta 2.70, 2 Te 2.89
Ta (0.0000, 0.0000, 0.0153)  2 Ta 2.70, 2 Li 2.96
Te (0.0000, 0.0000, 0.4920)  2 Ta 2.89, 2 Li 2.95, 4 Te 3.10
Li (0.5000, 0.5000, 0.7531)  2 Te 2.95, 2 Ta 2.96, 4 Li 3.10

=====

No. 8
Compound: PaFe4Re
Source: Alexandria via LeMat-Bulk
Functional: GGA-PBE
Structure: relaxed

Computed properties:
Formation energy (eV per atom): 0.0628
SG: No. 216

a b c (Å): 4.9224 4.9224 4.9224
angles (deg): 60.00 60.00 60.00
With the nearest neighbours (Å) after each atom.
Fractional positions:
Re (0.2500, 0.2500, 0.2500)  12 Fe 2.88, 4 Pa 3.01
Pa (0.0000, 0.0000, 0.0000)  12 Fe 2.89, 4 Re 3.01
Fe (0.6236, 0.1292, 0.6236)  6 Fe 2.43-2.49
Fe (0.1292, 0.6236, 0.6236)  6 Fe 2.43-2.49
Fe (0.6236, 0.6236, 0.6236)  6 Fe 2.43-2.49
Fe (0.6236, 0.6236, 0.1292)  6 Fe 2.43-2.49

=====

No. 9
Compound: CeY2Te
Source: Alexandria via LeMat-Bulk
Functional: GGA-PBE
Structure: relaxed

Computed properties:
Formation energy (no corrections) (eV per atom): -0.53
SG: No. 123

a b c (Å): 3.8526 3.8526 7.8514
angles (deg): 90.00 90.00 90.00
With the nearest neighbours (Å) after each atom.
Fractional positions:
Te (0.5000, 0.5000, 0.0000)  8 Y 3.25
Ce (0.5000, 0.5000, 0.5000)  8 Y 3.48, 4 Ce 3.85
Y (0.0000, 0.0000, 0.7751)  4 Te 3.25, 4 Ce 3.48, 1 Y 3.53
Y (0.0000, 0.0000, 0.2249)  4 Te 3.25, 4 Ce 3.48, 1 Y 3.53

=====

No. 10
Compound: Li7MgAu3
Source: Alexandria via LeMat-Bulk
Functional: GGA-PBE
Structure: relaxed

Computed properties:
Formation energy (eV per atom): -0.3512
SG: No. 63

a b c (Å): 3.1088 11.1015 10.9443
angles (deg): 90.00 90.00 98.05
With the nearest neighbours (Å) after each atom.
Fractional positions:
Li (0.6030, 0.2059, 0.2500)  8 Li 2.84-3.11, 4 Au 2.91
Li (0.6706, 0.3412, 0.5800)  4 Au 2.70, 3 Li 2.77-2.84, 2 Mg 2.91
Li (0.5069, 0.0138, 0.6137)  1 Li 2.51, 4 Au 2.73-2.80
Li (0.3970, 0.7941, 0.7500)  8 Li 2.84-3.11, 4 Au 2.91
Li (0.6706, 0.3412, 0.9200)  4 Au 2.70, 3 Li 2.77-2.84, 2 Mg 2.91
Li (0.3294, 0.6588, 0.4200)  4 Au 2.70, 3 Li 2.77-2.84, 2 Mg 2.91
Li (0.2016, 0.4032, 0.3802)  3 Au 2.66-2.74, 4 Li 2.77-2.85
Li (0.7984, 0.5968, 0.8802)  3 Au 2.66-2.74, 4 Li 2.77-2.85
Li (0.7984, 0.5968, 0.6198)  3 Au 2.66-2.74, 4 Li 2.77-2.85
Li (0.2016, 0.4032, 0.1198)  3 Au 2.66-2.74, 4 Li 2.77-2.85
Li (0.4931, 0.9862, 0.3863)  1 Li 2.51, 4 Au 2.73-2.80
Li (0.3294, 0.6588, 0.0800)  4 Au 2.70, 3 Li 2.77-2.84, 2 Mg 2.91
Li (0.4931, 0.9862, 0.1137)  1 Li 2.51, 4 Au 2.73-2.80
Li (0.5069, 0.0138, 0.8863)  1 Li 2.51, 4 Au 2.73-2.80
Mg (0.9027, 0.8055, 0.2500)  3 Au 2.81-3.05, 8 Li 2.91-2.93, 2 Mg 3.11
Mg (0.0973, 0.1945, 0.7500)  3 Au 2.81-3.05, 8 Li 2.91-2.93, 2 Mg 3.11
Au (0.2250, 0.4500, 0.7500)  8 Li 2.66-2.70, 1 Mg 2.81
Au (0.9144, 0.8288, 0.5279)  9 Li 2.70-2.91
Au (0.0856, 0.1712, 0.0279)  9 Li 2.70-2.91
Au (0.9144, 0.8288, 0.9721)  9 Li 2.70-2.91
Au (0.7750, 0.5500, 0.2500)  8 Li 2.66-2.70, 1 Mg 2.81
Au (0.0856, 0.1712, 0.4721)  9 Li 2.70-2.91

=====

No. 11
Compound: As2IrRuN
Source: Alexandria via LeMat-Bulk
Functional: GGA-PBE
Structure: relaxed

Computed properties:
Formation energy (no corrections) (eV per atom): 2.06
SG: No. 123

a b c (Å): 4.6234 5.1382 4.6234
angles (deg): 90.00 90.00 90.00
With the nearest neighbours (Å) after each atom.
Fractional positions:
Ru (0.0000, 0.5000, 0.0000)  2 Ir 2.57
As (0.0000, 0.0000, 0.5000)  2 Ir 2.31
As (0.5000, 0.0000, 0.0000)  2 Ir 2.31
Ir (0.0000, 0.0000, 0.0000)  4 As 2.31, 2 Ru 2.57
N (0.5000, 0.5000, 0.5000)  4 Ru 3.27, 8 As 3.46

=====

No. 12
Compound: CoNi2Rh3
Source: Alexandria via LeMat-Bulk
Functional: GGA-PBE
Structure: relaxed

Computed properties:
Formation energy (eV per atom): 0.1740
SG: No. 63

a b c (Å): 8.6176 5.8239 4.7053
angles (deg): 90.01 90.02 42.28
With the nearest neighbours (Å) after each atom.
Fractional positions:
Rh (0.1643, 0.0000, 0.2502)  1 Co 2.46, 4 Ni 2.55, 2 Rh 2.72
Rh (0.0955, 0.3268, 0.7501)  4 Ni 2.54-2.57, 6 Rh 2.56-2.80, 1 Co 2.82
Rh (0.5777, 0.3268, 0.2499)  4 Ni 2.54-2.57, 6 Rh 2.56-2.80, 1 Co 2.82
Rh (0.8357, 0.0000, 0.7498)  1 Co 2.46, 4 Ni 2.55, 2 Rh 2.72
Rh (0.9045, 0.6732, 0.2499)  4 Ni 2.54-2.57, 6 Rh 2.56-2.80, 1 Co 2.82
Rh (0.4223, 0.6732, 0.7501)  4 Ni 2.54-2.57, 6 Rh 2.56-2.80, 1 Co 2.82
Ni (0.2250, 0.5501, 0.0000)  2 Ni 2.35, 2 Co 2.49, 6 Rh 2.54-2.57
Ni (0.7748, 0.4504, 0.5000)  2 Ni 2.35, 2 Co 2.49, 6 Rh 2.54-2.57
Ni (0.7750, 0.4499, 0.0000)  2 Ni 2.35, 2 Co 2.49, 6 Rh 2.54-2.57
Ni (0.2252, 0.5496, 0.5000)  2 Ni 2.35, 2 Co 2.49, 6 Rh 2.54-2.57
Co (0.5508, 0.0000, 0.7503)  1 Rh 2.46, 4 Ni 2.49, 2 Co 2.51
Co (0.4492, 0.0000, 0.2497)  1 Rh 2.46, 4 Ni 2.49, 2 Co 2.51